First-principles (PBE) data for crystalline CeZr2TiO8 at its relaxed geometry, as listed in Alexandria.

Values from the calculation:
For the electronic total energy, the calculation gives -9.09 eV per atom. The raw formation energy is -3203 meV per atom. The calculation puts the density of states at the Fermi level at 0.000 states/eV per atom. The value obtained for the total magnetization is 0.000 μB per atom.

The structure in CIF format:
```
data_CeZr2TiO8
_cell_length_a 4.904
_cell_length_b 4.906
_cell_length_c 6.610
_cell_angle_alpha 90.00
_cell_angle_beta 90.00
_cell_angle_gamma 89.32
_symmetry_space_group_name_H-M 'P 1'
_symmetry_Int_Tables_number 1
_symmetry_space_group_name_Hall 'P 1'
loop_
_atom_site_label
_atom_site_type_symbol
_atom_site_fract_x
_atom_site_fract_y
_atom_site_fract_z
Ce1 Ce 0.000 0.000 0.500
Ti1 Ti 0.000 0.000 0.000
O1 O 0.684 0.683 0.500
O2 O 0.808 0.191 0.221
O3 O 0.808 0.191 0.779
O4 O 0.192 0.809 0.779
O5 O 0.297 0.298 0.000
O6 O 0.703 0.702 0.000
O7 O 0.316 0.317 0.500
O8 O 0.192 0.809 0.221
Zr1 Zr 0.500 0.500 0.761
Zr2 Zr 0.500 0.500 0.239
```